(1)
Compound: HoTaPO
Source: OQMD via LeMat-Bulk
Functional: PBE-GGA
Structure: relaxed

Output
E above lowest polymorph = 0.491 eV/atom

```
data_HoTaPO
_cell_length_a 3.757
_cell_length_b 7.103
_cell_length_c 5.641
_cell_angle_alpha 90.00
_cell_angle_beta 90.00
_cell_angle_gamma 90.00
_symmetry_space_group_name_H-M 'P 1'
_symmetry_Int_Tables_number 1
loop_
_symmetry_equiv_pos_as_xyz
'x,y,z'
loop_
_atom_site_label
_atom_site_type_symbol
_atom_site_fract_x
_atom_site_fract_y
_atom_site_fract_z
Ta1 Ta 0.500 0.095 0.478
Ta2 Ta 0.500 0.905 0.978
P1 P 0.000 0.326 0.462
P2 P 0.000 0.674 0.962
Ho1 Ho 0.000 0.715 0.477
Ho2 Ho 0.000 0.285 0.977
O1 O 0.500 0.823 0.337
O2 O 0.500 0.177 0.837
```


(2)
Compound: HoTcPO
Source: OQMD via LeMat-Bulk
Functional: PBE-GGA
Structure: relaxed

Output
E above lowest polymorph = 0.438 eV/atom

```
data_HoTcPO
_cell_length_a 4.401
_cell_length_b 4.318
_cell_length_c 6.310
_cell_angle_alpha 90.00
_cell_angle_beta 90.00
_cell_angle_gamma 90.00
_symmetry_space_group_name_H-M 'P 1'
_symmetry_Int_Tables_number 1
loop_
_symmetry_equiv_pos_as_xyz
'x,y,z'
loop_
_atom_site_label
_atom_site_type_symbol
_atom_site_fract_x
_atom_site_fract_y
_atom_site_fract_z
Tc1 Tc 0.500 0.158 0.941
Tc2 Tc 0.500 0.842 0.441
Ho1 Ho 0.000 0.691 0.090
Ho2 Ho 0.000 0.309 0.590
O1 O 0.000 0.829 0.434
O2 O 0.000 0.171 0.934
P1 P 0.500 0.661 0.788
P2 P 0.500 0.339 0.288
```


(3)
Compound: HoTcPO
Source: OQMD via LeMat-Bulk
Functional: PBE-GGA
Structure: relaxed

Output
E above lowest polymorph = 1.668 eV/atom

```
data_HoTcPO
_cell_length_a 4.355
_cell_length_b 4.355
_cell_length_c 8.232
_cell_angle_alpha 90.00
_cell_angle_beta 90.00
_cell_angle_gamma 90.00
_symmetry_space_group_name_H-M 'P 1'
_symmetry_Int_Tables_number 1
loop_
_symmetry_equiv_pos_as_xyz
'x,y,z'
loop_
_atom_site_label
_atom_site_type_symbol
_atom_site_fract_x
_atom_site_fract_y
_atom_site_fract_z
Tc1 Tc 0.000 0.000 0.983
Tc2 Tc 0.500 0.500 0.017
O1 O 0.500 0.000 0.000
O2 O 0.000 0.500 0.000
Ho1 Ho 0.500 0.000 0.500
Ho2 Ho 0.000 0.500 0.500
P1 P 0.000 0.000 0.698
P2 P 0.500 0.500 0.302
```


(4)
Compound: HoTcPO
Source: OQMD via LeMat-Bulk
Functional: PBE-GGA
Structure: relaxed

Output
E above lowest polymorph = 0.655 eV/atom

```
data_HoTcPO
_cell_length_a 4.051
_cell_length_b 6.001
_cell_length_c 5.512
_cell_angle_alpha 90.00
_cell_angle_beta 90.00
_cell_angle_gamma 90.00
_symmetry_space_group_name_H-M 'P 1'
_symmetry_Int_Tables_number 1
loop_
_symmetry_equiv_pos_as_xyz
'x,y,z'
loop_
_atom_site_label
_atom_site_type_symbol
_atom_site_fract_x
_atom_site_fract_y
_atom_site_fract_z
P1 P 0.000 0.322 0.871
P2 P 0.000 0.678 0.371
Tc1 Tc 0.500 0.461 0.113
Tc2 Tc 0.500 0.539 0.613
O1 O 0.500 0.757 0.916
O2 O 0.500 0.243 0.416
Ho1 Ho 0.000 0.831 0.854
Ho2 Ho 0.000 0.169 0.354
```


(5)
Compound: HoTcPO
Source: OQMD via LeMat-Bulk
Functional: PBE-GGA
Structure: relaxed

Output
E above lowest polymorph = 0.000 eV/atom

```
data_HoTcPO
_cell_length_a 3.909
_cell_length_b 3.909
_cell_length_c 8.227
_cell_angle_alpha 90.00
_cell_angle_beta 90.00
_cell_angle_gamma 90.00
_symmetry_space_group_name_H-M 'P 1'
_symmetry_Int_Tables_number 1
loop_
_symmetry_equiv_pos_as_xyz
'x,y,z'
loop_
_atom_site_label
_atom_site_type_symbol
_atom_site_fract_x
_atom_site_fract_y
_atom_site_fract_z
Ho1 Ho 0.500 0.500 0.868
Ho2 Ho 0.000 0.000 0.132
O1 O 0.500 0.000 0.000
O2 O 0.000 0.500 0.000
Tc1 Tc 0.000 0.500 0.500
Tc2 Tc 0.500 0.000 0.500
P1 P 0.000 0.000 0.667
P2 P 0.500 0.500 0.333
```


(6)
Compound: HoZnPO
Source: OQMD via LeMat-Bulk
Functional: PBE-GGA
Structure: relaxed

Output
Uncorrected energy = -5.710 eV per atom

```
data_HoZnPO
_cell_length_a 4.248
_cell_length_b 6.021
_cell_length_c 5.725
_cell_angle_alpha 90.00
_cell_angle_beta 90.00
_cell_angle_gamma 90.00
_symmetry_space_group_name_H-M 'P 1'
_symmetry_Int_Tables_number 1
loop_
_symmetry_equiv_pos_as_xyz
'x,y,z'
loop_
_atom_site_label
_atom_site_type_symbol
_atom_site_fract_x
_atom_site_fract_y
_atom_site_fract_z
Ho1 Ho 0.000 0.262 0.924
Ho2 Ho 0.000 0.738 0.424
O1 O 0.500 0.172 0.891
O2 O 0.500 0.828 0.391
P1 P 0.000 0.274 0.415
P2 P 0.000 0.726 0.915
Zn1 Zn 0.500 0.853 0.024
Zn2 Zn 0.500 0.147 0.524
```


(7)
Compound: HoZnPO
Source: OQMD via LeMat-Bulk
Functional: PBE-GGA
Structure: relaxed

Output
Uncorrected energy = -5.569 eV per atom

```
data_HoZnPO
_cell_length_a 3.814
_cell_length_b 5.674
_cell_length_c 6.510
_cell_angle_alpha 90.00
_cell_angle_beta 90.00
_cell_angle_gamma 90.00
_symmetry_space_group_name_H-M 'P 1'
_symmetry_Int_Tables_number 1
loop_
_symmetry_equiv_pos_as_xyz
'x,y,z'
loop_
_atom_site_label
_atom_site_type_symbol
_atom_site_fract_x
_atom_site_fract_y
_atom_site_fract_z
Ho1 Ho 0.500 0.945 0.093
Ho2 Ho 0.500 0.055 0.593
P1 P 0.000 0.771 0.815
P2 P 0.000 0.229 0.315
O1 O 0.500 0.254 0.880
O2 O 0.500 0.746 0.380
Zn1 Zn 0.000 0.605 0.466
Zn2 Zn 0.000 0.395 0.966
```


(8)
Compound: HoZrPO
Source: OQMD via LeMat-Bulk
Functional: PBE-GGA
Structure: relaxed

Output
E above lowest polymorph = 0.205 eV/atom

```
data_HoZrPO
_cell_length_a 3.911
_cell_length_b 7.373
_cell_length_c 5.611
_cell_angle_alpha 90.00
_cell_angle_beta 90.00
_cell_angle_gamma 90.00
_symmetry_space_group_name_H-M 'P 1'
_symmetry_Int_Tables_number 1
loop_
_symmetry_equiv_pos_as_xyz
'x,y,z'
loop_
_atom_site_label
_atom_site_type_symbol
_atom_site_fract_x
_atom_site_fract_y
_atom_site_fract_z
Zr1 Zr 0.500 0.386 0.986
Zr2 Zr 0.500 0.614 0.486
O1 O 0.500 0.335 0.372
O2 O 0.500 0.665 0.872
P1 P 0.000 0.839 0.447
P2 P 0.000 0.161 0.947
Ho1 Ho 0.000 0.790 0.949
Ho2 Ho 0.000 0.210 0.449
```


(9)
Compound: HoZrPO
Source: OQMD via LeMat-Bulk
Functional: PBE-GGA
Structure: relaxed

Output
E above lowest polymorph = 0.000 eV/atom

```
data_HoZrPO
_cell_length_a 4.132
_cell_length_b 4.132
_cell_length_c 8.481
_cell_angle_alpha 90.00
_cell_angle_beta 90.00
_cell_angle_gamma 90.00
_symmetry_space_group_name_H-M 'P 1'
_symmetry_Int_Tables_number 1
loop_
_symmetry_equiv_pos_as_xyz
'x,y,z'
loop_
_atom_site_label
_atom_site_type_symbol
_atom_site_fract_x
_atom_site_fract_y
_atom_site_fract_z
O1 O 0.000 0.000 0.000
O2 O 0.500 0.500 0.000
Zr1 Zr 0.500 0.500 0.500
Zr2 Zr 0.000 0.000 0.500
P1 P 0.500 0.000 0.310
P2 P 0.000 0.500 0.690
Ho1 Ho 0.000 0.500 0.114
Ho2 Ho 0.500 0.000 0.886
```


(10)
Compound: HoZrPO
Source: OQMD via LeMat-Bulk
Functional: PBE-GGA
Structure: relaxed

Output
E above lowest polymorph = 0.527 eV/atom

```
data_HoZrPO
_cell_length_a 3.998
_cell_length_b 3.998
_cell_length_c 8.389
_cell_angle_alpha 90.00
_cell_angle_beta 90.00
_cell_angle_gamma 90.00
_symmetry_space_group_name_H-M 'P 1'
_symmetry_Int_Tables_number 1
loop_
_symmetry_equiv_pos_as_xyz
'x,y,z'
loop_
_atom_site_label
_atom_site_type_symbol
_atom_site_fract_x
_atom_site_fract_y
_atom_site_fract_z
O1 O 0.250 0.750 0.000
O2 O 0.750 0.250 0.000
Ho1 Ho 0.750 0.250 0.500
Ho2 Ho 0.250 0.750 0.500
P1 P 0.750 0.750 0.273
P2 P 0.250 0.250 0.727
Zr1 Zr 0.750 0.750 0.874
Zr2 Zr 0.250 0.250 0.126
```


(11)
Compound: HoZrPO
Source: OQMD via LeMat-Bulk
Functional: PBE-GGA
Structure: relaxed

Output
E above lowest polymorph = 0.190 eV/atom

```
data_HoZrPO
_cell_length_a 4.150
_cell_length_b 7.303
_cell_length_c 5.008
_cell_angle_alpha 90.00
_cell_angle_beta 90.00
_cell_angle_gamma 90.00
_symmetry_space_group_name_H-M 'P 1'
_symmetry_Int_Tables_number 1
loop_
_symmetry_equiv_pos_as_xyz
'x,y,z'
loop_
_atom_site_label
_atom_site_type_symbol
_atom_site_fract_x
_atom_site_fract_y
_atom_site_fract_z
Ho1 Ho 0.000 0.649 0.439
Ho2 Ho 0.000 0.351 0.939
O1 O 0.000 0.665 0.938
O2 O 0.000 0.335 0.438
Zr1 Zr 0.500 0.755 0.938
Zr2 Zr 0.500 0.245 0.438
P1 P 0.500 0.882 0.438
P2 P 0.500 0.118 0.938
```


(12)
Compound: HoZrPO
Source: OQMD via LeMat-Bulk
Functional: PBE-GGA
Structure: relaxed

Output
E above lowest polymorph = 0.527 eV/atom

```
data_HoZrPO
_cell_length_a 4.005
_cell_length_b 4.005
_cell_length_c 8.370
_cell_angle_alpha 90.00
_cell_angle_beta 90.00
_cell_angle_gamma 90.00
_symmetry_space_group_name_H-M 'P 1'
_symmetry_Int_Tables_number 1
loop_
_symmetry_equiv_pos_as_xyz
'x,y,z'
loop_
_atom_site_label
_atom_site_type_symbol
_atom_site_fract_x
_atom_site_fract_y
_atom_site_fract_z
Zr1 Zr 0.500 0.000 0.874
Zr2 Zr 0.000 0.500 0.126
O1 O 0.000 0.000 0.000
O2 O 0.500 0.500 0.000
P1 P 0.000 0.500 0.727
P2 P 0.500 0.000 0.273
Ho1 Ho 0.000 0.000 0.500
Ho2 Ho 0.500 0.500 0.500
```


Total magnetization: 0.02, 0.52, 5.86, 0.01, 0.02, 0.00, 0.00, 0.01, 0.03, 0.09, 0.01, 0.15 (μB per cell)